A geometry-optimized SrMg6CrO8 structure, computed with PBE+U.

extended XYZ file:
```
16
Lattice="-4.051 1.991 -0.488 0.024 -1.035 -4.421 -3.901 -7.514 1.739" Properties=species:S:1:pos:R:3 pbc="T T T"
Cr -2.014 0.478 -2.454
O -3.976 -2.762 0.625
O -1.939 -4.274 -1.341
O -1.067 -2.055 0.475
O -2.834 -5.459 1.263
O -2.026 0.995 -0.244
O -4.935 -5.149 -1.152
O -2.993 -1.409 -2.018
O 0.012 -0.518 -2.210
Mg -0.998 -2.464 -1.760
Mg -3.036 -0.951 0.206
Mg -2.879 -6.085 -0.922
Mg -4.916 -4.572 1.044
Mg -3.964 -3.279 -1.585
Mg -1.950 -3.757 0.869
Sr 0.000 0.000 0.000
```

- Energy relative to the lowest polymorph listed for this composition: 0.0 meV per atom

=====

A geometry-optimized SrMg6CrO8 structure, computed with PBE+U.

extended XYZ file:
```
16
Lattice="-4.146 1.320 1.259 -1.538 -0.846 -4.176 -1.890 -8.180 2.353" Properties=species:S:1:pos:R:3 pbc="T T T"
O -3.318 -1.822 -0.866
O -0.769 -0.423 -2.088
O -4.257 -5.884 0.302
O -2.073 0.660 0.629
O -1.714 -4.513 -0.911
O -1.380 -5.970 1.718
O -0.511 -2.209 0.636
O -3.018 -3.430 1.806
Mg -2.842 0.237 -1.459
Mg -1.261 -2.554 -1.475
Mg -2.566 -1.471 1.243
Mg -3.787 -3.853 -0.282
Mg -2.167 -6.472 -0.348
Mg -3.471 -5.388 2.370
Cr -0.945 -4.090 1.177
Sr 0.000 0.000 0.000
```

- Energy relative to the lowest polymorph listed for this composition: 3.6 meV per atom

=====

A geometry-optimized Mg2TaCrO6 structure, computed with PBE+U.

extended XYZ file:
```
20
Lattice="-1.668 4.352 2.279 -5.067 -1.378 -1.162 -0.521 -3.670 6.625" Properties=species:S:1:pos:R:3 pbc="T T T"
Mg -5.005 -2.239 0.541
Mg -4.067 -1.399 5.430
Mg -3.189 0.702 2.313
Mg -2.251 1.542 7.202
Ta -2.534 -0.689 -0.581
Ta -2.794 -2.524 2.732
O -4.618 1.791 1.207
O -4.898 -3.786 5.636
O -2.446 -1.141 4.103
O -4.060 0.432 6.444
O -2.358 3.089 2.107
O -3.195 -1.128 1.298
O -2.638 -2.488 6.536
O -1.114 0.611 2.426
O -2.549 1.745 4.534
O -6.142 -1.308 5.317
O -4.809 0.444 3.639
O -4.707 -2.441 3.209
Cr -1.094 0.341 4.452
Cr -0.834 2.176 1.140
```

- Raw total energy: -7.766 eV per atom

=====

A geometry-optimized MgTa2CrO structure, computed with PBE+U.

extended XYZ file:
```
5
Lattice="-3.303 -2.451 0.830 1.348 -2.920 -3.258 2.274 -2.106 2.828" Properties=species:S:1:pos:R:3 pbc="T T T"
Ta -1.651 -1.226 0.415
Ta 1.137 -1.053 1.414
Cr 0.674 -1.460 -1.629
O 0.000 0.000 0.000
Mg 0.160 -3.739 0.200
```

- Raw total energy: -7.808 eV per atom

=====

A geometry-optimized Mg6TiCrO8 structure, computed with PBE+U.

extended XYZ file:
```
16
Lattice="-1.607 3.042 -2.518 -2.685 1.151 3.105 6.034 5.743 3.088" Properties=species:S:1:pos:R:3 pbc="T T T"
Mg 0.713 2.964 -0.483
Mg -2.146 2.097 0.294
Mg 0.174 2.019 2.329
Mg 3.715 5.821 1.053
Mg 0.871 4.968 1.838
Mg 3.176 4.876 3.865
O -0.639 3.531 1.065
O -0.803 1.521 -1.259
O 2.214 4.393 0.285
O -1.342 0.576 1.553
O 4.589 4.367 2.348
O 2.382 6.405 2.611
O 1.675 3.447 3.097
O 1.446 1.376 0.740
Ti 0.000 0.000 0.000
Cr 3.017 2.871 1.544
```

- Raw total energy: -6.467 eV per atom

=====

A geometry-optimized Mg6TiCrO8 structure, computed with PBE+U.

extended XYZ file:
```
16
Lattice="4.260 0.000 0.000 0.000 4.260 0.000 0.000 0.000 8.844" Properties=species:S:1:pos:R:3 pbc="T T T"
Cr 2.130 2.130 0.000
O 0.000 2.130 0.000
O 0.000 0.000 6.608
O 2.130 2.130 6.496
O 2.130 0.000 4.422
O 2.130 0.000 0.000
O 0.000 0.000 2.235
O 2.130 2.130 2.348
O 0.000 2.130 4.422
Mg 2.130 0.000 2.275
Mg 2.130 0.000 6.569
Mg 0.000 2.130 6.569
Mg 0.000 0.000 4.422
Mg 0.000 2.130 2.275
Mg 2.130 2.130 4.422
Ti 0.000 0.000 0.000
```

- Raw total energy: -6.469 eV per atom

=====

A geometry-optimized MgTlCr2O8 structure, computed with PBE+U.

extended XYZ file:
```
12
Lattice="5.599 0.000 0.000 -2.800 4.849 0.000 0.000 0.000 7.613" Properties=species:S:1:pos:R:3 pbc="T T T"
O 2.800 1.616 0.387
O 2.811 3.198 2.565
O 1.424 0.835 2.565
O 0.000 3.233 7.226
O 4.164 0.816 2.565
O 1.375 4.014 5.048
O -1.365 4.033 5.048
O -0.011 1.651 5.048
Tl 0.000 0.000 0.000
Mg 0.000 0.000 3.807
Cr 0.000 3.233 5.587
Cr 2.800 1.616 2.026
```

- Raw total energy: -6.209 eV per atom

=====

A geometry-optimized MgUCrO6 structure, computed with PBE+U.

extended XYZ file:
```
18
Lattice="-4.191 -2.875 0.342 4.546 -1.973 1.178 -1.116 2.673 8.790" Properties=species:S:1:pos:R:3 pbc="T T T"
U 0.000 0.000 0.000
U -0.558 1.337 4.395
Mg 1.355 -1.606 3.097
Mg -2.116 -0.570 7.213
O -0.387 -0.658 3.743
O 0.785 0.939 5.967
O -1.546 -3.114 4.343
O -0.374 -1.517 6.567
O -2.764 -3.104 1.874
O -0.007 -2.874 2.154
O 2.376 -1.180 6.814
O -0.755 0.698 8.156
O -1.505 -0.692 1.300
O -3.137 -0.996 3.496
O 2.003 0.929 8.436
O 0.744 -1.483 9.010
Cr -1.558 -1.906 2.818
Cr 0.796 -0.269 7.492
```

- Raw total energy: -8.040 eV per atom

=====

A geometry-optimized Mg30VCrO32 structure, computed with PBE+U.

extended XYZ file:
```
64
Lattice="-4.642 -6.570 -2.796 1.678 -4.245 7.190 -6.995 3.394 3.637" Properties=species:S:1:pos:R:3 pbc="T T T"
Mg -0.496 -2.330 6.299
Mg -7.872 -4.508 4.220
Mg -5.818 -1.588 0.420
Mg 0.099 -4.826 4.695
Mg -5.231 -4.072 -1.183
Mg -4.402 -6.191 2.416
Mg -4.979 -3.711 4.015
Mg -3.663 -3.493 1.320
Mg -3.063 -5.989 -0.301
Mg -4.238 -1.006 2.916
Mg -2.658 -0.425 5.413
Mg -2.223 -8.113 3.296
Mg -3.984 -0.638 8.112
Mg -2.086 -2.914 3.811
Mg -5.556 -1.230 5.615
Mg -6.405 0.896 2.024
Mg -6.560 -4.292 1.518
Mg -2.321 -3.285 -1.398
Mg -0.741 -2.702 1.098
Mg -3.399 -3.129 6.513
Mg -5.720 -6.415 5.114
Mg -7.133 -1.810 3.124
Mg -8.719 -2.380 0.630
Mg -2.826 -5.612 4.907
Mg -2.917 -0.796 0.211
Mg 0.839 -2.123 3.595
Mg -1.333 -0.213 2.714
Mg -6.296 -3.928 6.711
Mg -4.821 1.479 4.528
Mg -3.497 1.697 1.818
O -3.078 0.636 3.616
O -4.658 0.054 1.119
O -3.967 -7.266 4.203
O -1.902 -4.344 0.396
O -5.403 -2.638 2.199
O -4.068 -2.437 -0.489
O -5.214 2.530 2.711
O -1.781 0.864 0.926
O -6.979 -3.230 -0.279
O -8.313 -3.441 2.429
O -0.319 -3.762 2.897
O -3.807 -2.051 4.722
O 1.250 -3.162 5.355
O -5.152 -2.279 7.424
O -2.485 -1.856 2.005
O -4.555 -4.783 5.832
O -3.332 -4.510 3.159
O -1.646 -3.980 5.601
O -2.644 -7.053 1.497
O -0.909 -1.275 4.503
O -7.473 -5.565 6.025
O -5.991 -0.155 3.828
O 0.428 -1.083 1.835
O -4.807 -5.143 0.607
O -6.626 -2.911 4.871
O -6.152 -5.370 3.309
O -7.568 -0.739 1.330
O -1.062 -6.471 3.998
O -4.408 0.424 6.323
O -3.457 -4.893 -2.082
O -2.239 -1.487 7.210
O -1.185 -1.677 -0.714
V 0.000 0.000 0.000
Cr -1.482 -5.408 2.197
```

- Raw total energy: -6.093 eV per atom

=====

A geometry-optimized MgVCrO4 structure, computed with PBE+U.

extended XYZ file:
```
14
Lattice="-3.301 -5.040 0.281 1.158 -4.183 4.214 -0.556 4.226 4.279" Properties=species:S:1:pos:R:3 pbc="T T T"
O -3.345 -3.009 4.443
O -1.669 -0.478 4.482
O -3.060 -4.953 2.497
O -1.564 -2.637 2.334
O 0.646 -1.987 4.331
O -1.135 -2.360 6.440
O 0.361 -0.044 6.276
O -1.030 -4.519 4.291
Cr -1.071 -4.611 2.247
Cr -3.000 -5.018 4.527
V -1.350 -2.498 4.387
V -3.579 -2.927 2.420
Mg -0.746 -1.268 1.131
Mg -1.953 -3.729 7.642
```

- Raw total energy: -7.463 eV per atom

=====

A geometry-optimized Mg6ZnCrO8 structure, computed with PBE+U.

extended XYZ file:
```
16
Lattice="-0.699 -1.095 -4.123 4.181 0.656 -0.883 1.673 -8.132 1.876" Properties=species:S:1:pos:R:3 pbc="T T T"
Mg 0.068 -2.578 -1.593
Mg 3.346 -5.773 0.966
Mg 1.741 -0.219 -2.503
Mg 0.906 -6.649 -0.654
Mg 2.577 -4.285 -1.565
Mg 2.508 -1.702 0.027
O 0.425 -2.068 0.477
O 1.247 -6.064 1.399
O 0.487 -4.614 -1.124
O -0.350 -0.547 -2.062
O 2.927 -3.738 0.496
O 2.159 -2.250 -2.035
O 2.090 0.328 -0.442
O 2.996 -6.321 -1.096
Zn 0.000 0.000 0.000
Cr 0.836 -4.066 0.938
```

- Raw total energy: -5.986 eV per atom

=====

A geometry-optimized Mg30ZnCrO32 structure, computed with PBE+U.

extended XYZ file:
```
64
Lattice="8.506 0.000 0.000 0.000 8.526 0.000 0.000 0.000 8.526" Properties=species:S:1:pos:R:3 pbc="T T T"
Mg 6.383 4.263 2.124
Mg 0.000 6.387 6.387
Mg 0.000 2.140 2.140
Mg 2.123 0.000 6.397
Mg 4.253 0.000 0.000
Mg 0.000 2.140 6.387
Mg 4.253 6.395 6.395
Mg 2.123 2.130 0.000
Mg 6.383 6.403 4.263
Mg 2.123 2.124 4.263
Mg 4.253 2.131 6.395
Mg 6.383 2.124 4.263
Mg 2.123 4.263 6.403
Mg 4.253 4.263 4.263
Mg 6.383 0.000 2.130
Mg 2.123 4.263 2.124
Mg 4.253 2.131 2.131
Mg 2.123 6.397 0.000
Mg 6.383 6.397 0.000
Mg 2.123 6.403 4.263
Mg 4.253 4.263 0.000
Mg 4.253 6.395 2.131
Mg 4.253 0.000 4.263
Mg 2.123 0.000 2.130
Mg 6.383 4.263 6.403
Mg 0.000 0.000 4.263
Mg 6.383 0.000 6.397
Mg 0.000 6.387 2.140
Mg 6.383 2.130 0.000
Mg 0.000 4.263 0.000
O 6.393 4.263 4.263
O 2.126 6.394 6.394
O 4.253 0.000 2.135
O 6.381 2.133 6.394
O 0.000 4.263 6.434
O 6.381 2.133 2.133
O 6.381 6.394 2.133
O 2.126 2.133 6.394
O 0.000 2.092 4.263
O 0.000 6.370 0.000
O 4.253 2.135 0.000
O 6.372 4.263 0.000
O 2.126 6.394 2.133
O 2.159 0.000 0.000
O 2.134 4.263 0.000
O 0.000 2.156 0.000
O 0.000 4.263 2.092
O 6.347 0.000 0.000
O 4.253 0.000 6.392
O 4.253 6.392 0.000
O 0.000 0.000 2.156
O 4.253 4.263 2.140
O 4.253 6.387 4.263
O 2.126 2.133 2.133
O 6.381 6.394 6.394
O 2.114 4.263 4.263
O 4.253 4.263 6.387
O 2.134 0.000 4.263
O 4.253 2.140 4.263
O 6.372 0.000 4.263
O 0.000 0.000 6.370
O 0.000 6.434 4.263
Zn 0.000 0.000 0.000
Cr 0.000 4.263 4.263
```

- Raw total energy: -5.970 eV per atom